{
  "formula": "Th2ZnNi",
  "functional": "PBE",
  "state": "optimized geometry",
  "cell": [[3.5749, 0.0000, 0.0000], [0.0000, 3.5749, 0.0000], [0.0000, 0.0000, 7.1963]],
  "species": ["Th", "Th", "Zn", "Ni"],
  "frac_coords": [[0.0000, 0.0000, 0.2311], [0.0000, 0.0000, 0.7689], [0.5000, 0.5000, 0.5000], [0.5000, 0.5000, 0.0000]],
  "dos_at_fermi_per_ev_atom": 1.11,
  "energy_ev_per_cell": -22.7,
  "e_above_lowest_polymorph_mev_per_atom": 69,
  "ef_ev_per_atom": -0.21
}